# 1
The following is a PBE calculation of an optimized crystal structure of MgSb2H2, from the Alexandria database.

The density of states at the Fermi level is 1.85 states/eV/f.u. The distance to the lowest polymorph of the same formula is 63 meV per atom. For the energy, the calculation gives -2.93 eV per atom. For the size of the total moment, the calculation gives 0.0000 μB/atom.

It has space group I4/mmm (No. 139), with a = 3.404 Å, b = 3.404 Å, c = 14.448 Å, α = 90.00°, β = 90.00° and γ = 90.00°. The inequivalent atoms are Mg at (0.000, 0.000, 0.000), Sb at (0.000, 0.000, 0.356) and H at (0.000, 0.500, 0.250).

=====

# 2
The following is a PBE calculation of an optimized crystal structure of Mg2SnSbH, from the Alexandria database.

The density of states at the Fermi level is 1.72 states/eV/f.u. For the energy, the calculation gives -2.84 eV per atom. For the size of the total moment, the calculation gives 0.0000 μB/atom.

It has space group P4/mmm (No. 123), with a = 4.525 Å, b = 4.525 Å, c = 4.903 Å, α = 90.00°, β = 90.00° and γ = 90.00°. The inequivalent atoms are Mg at (0.000, 0.500, 0.000), Sn at (0.000, 0.000, 0.500), Sb at (0.500, 0.500, 0.500) and H at (0.500, 0.500, 0.000).

=====

# 3
The following is a PBE calculation of an optimized crystal structure of Sr2MgSbH, from the Alexandria database.

The density of states at the Fermi level is 1.65 states/eV/f.u. For the energy, the calculation gives -2.98 eV per atom. For the size of the total moment, the calculation gives 0.0000 μB/atom.

It has space group P4/mmm (No. 123), with a = 5.296 Å, b = 5.296 Å, c = 4.636 Å, α = 90.00°, β = 90.00° and γ = 90.00°. The inequivalent atoms are Sr at (0.000, 0.500, 0.000), Mg at (0.000, 0.000, 0.500), Sb at (0.500, 0.500, 0.500) and H at (0.000, 0.000, 0.000).

=====

# 4
The following is a PBE calculation of an optimized crystal structure of Sr2Mg4Sb3H2, from the Alexandria database.

The density of states at the Fermi level is 3.18 states/eV/f.u. For the energy, the calculation gives -3.14 eV per atom. For the size of the total moment, the calculation gives 0.0000 μB/atom.

It has space group I4/mmm (No. 139), with a = 4.570 Å, b = 4.570 Å, c = 24.580 Å, α = 90.00°, β = 90.00° and γ = 90.00°. The inequivalent atoms are Sr at (0.000, 0.000, 0.193), Mg at (0.000, 0.500, 0.080), Sb at (0.000, 0.000, 0.334), Sb at (0.000, 0.000, 0.500) and H at (0.000, 0.000, 0.088).

=====

# 5
The following is a PBE calculation of an optimized crystal structure of SrMgSbH2, from the Alexandria database.

The density of states at the Fermi level is 1.02 states/eV/f.u. For the energy, the calculation gives -3.29 eV per atom. For the size of the total moment, the calculation gives 0.0000 μB/atom.

It has space group Cmcm (No. 63), with a = 4.600 Å, b = 11.860 Å, c = 6.756 Å, α = 90.00°, β = 90.00° and γ = 90.00°. The inequivalent atoms are Sr at (0.000, 0.223, 0.250), Mg at (0.000, 0.500, 0.000), Sb at (0.000, 0.057, 0.750) and H at (0.000, 0.336, 0.558).

=====

# 6
The following is a PBE calculation of an optimized crystal structure of MgSb2TeH, from the Alexandria database.

The density of states at the Fermi level is 2.08 states/eV/f.u. The distance to the lowest polymorph of the same formula is 0 meV per atom. For the energy, the calculation gives -3.02 eV per atom. For the size of the total moment, the calculation gives 0.0000 μB/atom.

It has space group P4/mmm (No. 123), with a = 4.310 Å, b = 4.310 Å, c = 6.493 Å, α = 90.00°, β = 90.00° and γ = 90.00°. The inequivalent atoms are Mg at (0.000, 0.000, 0.000), Sb at (0.000, 0.500, 0.500), Te at (0.500, 0.500, 0.000) and H at (0.500, 0.500, 0.500).

=====

# 7
The following is a PBE calculation of an optimized crystal structure of MgSb2TeH, from the Alexandria database.

The density of states at the Fermi level is 2.34 states/eV/f.u. The distance to the lowest polymorph of the same formula is 610 meV per atom. For the energy, the calculation gives -2.41 eV per atom. For the size of the total moment, the calculation gives 0.1894 μB/atom.

It has space group P4/mmm (No. 123), with a = 5.422 Å, b = 5.422 Å, c = 5.495 Å, α = 90.00°, β = 90.00° and γ = 90.00°. The inequivalent atoms are Mg at (0.000, 0.000, 0.000), Sb at (0.000, 0.500, 0.000), Te at (0.000, 0.000, 0.500) and H at (0.500, 0.500, 0.500).

=====

# 8
The following is a PBE calculation of an optimized crystal structure of MgZnSbH, from the Alexandria database.

For the energy, the calculation gives -2.53 eV per atom. For the size of the total moment, the calculation gives 0.0000 μB/atom.

It has space group Amm2 (No. 38), with a = 5.237 Å, b = 4.707 Å, c = 7.684 Å, α = 90.00°, β = 90.00° and γ = 90.00°. The inequivalent atoms are Mg at (0.000, 0.000, 0.000), Zn at (0.500, 0.000, 0.782), Sb at (0.500, 0.000, 0.132) and H at (0.000, 0.000, 0.761).

=====

Question: Among the records above, which one has the highest energy?
Answer: number 7

=====

Question: What is the formula in the third record?
Answer: Sr2MgSbH

=====

Question: What is the size of the total moment in the third record?
Answer: 0.0000 μB/atom